Compound: GdGa
Source: OQMD via LeMat-Bulk
Functional: GGA-PBE
Structure: optimized geometry

a b c (Å): 5.9750 5.9750 5.9750
angles (deg): 90.00 90.00 90.00
Closest atoms and distances in Å follow each position.
Space group Fm-3m (No. 225)
Asymmetric unit:
1 Gd 0.0000 0.0000 0.0000 [4 per cell]  6 Ga 2.99
2 Ga 0.0000 0.0000 0.5000 [4 per cell]  6 Gd 2.99

Values from the calculation:
As for the final energy: -32.94 eV per cell. The magnetic moment comes out at 0.3 μB per formula unit.